1.
The following is a DFT calculation (PBE) of a relaxed structure of CaTlSbI2.

Properties
Formation energy without anion corrections in eV per atom: -0.460
Distance to the lowest polymorph of the same formula in meV/atom: 0
SG: P4/mmm
Total magnetic moment in μB/f.u.: 2.01

extended XYZ file:
```
5
Lattice="6.110 0.000 0.000 0.000 6.110 0.000 0.000 0.000 6.253" Properties=species:S:1:pos:R:3 pbc="T T T"
Sb 0.000 0.000 3.126
I 3.055 0.000 0.000
I 0.000 3.055 0.000
Ca 0.000 0.000 0.000
Tl 3.055 3.055 3.126
```

---

2.
The following is a DFT calculation (PBE) of a relaxed structure of CaVSb2I.

Properties
Formation energy without anion corrections in eV per atom: 0.813
Distance to the lowest polymorph of the same formula in meV/atom: 956
SG: P4/mmm
Total magnetic moment in μB/f.u.: 3.15

extended XYZ file:
```
5
Lattice="-2.491 4.380 2.864 -3.177 1.255 -4.682 -4.166 -3.589 1.865" Properties=species:S:1:pos:R:3 pbc="T T T"
Sb -1.245 2.190 1.432
Sb -1.589 0.627 -2.341
Ca 0.000 0.000 0.000
I -2.083 -1.794 0.933
V -4.917 1.023 0.024
```